Density functional theory data (GGA-PBE) for a relaxed structure of TlIn2OsO8.

Formation energy (no corrections) in eV per atom: -1.080
Raw total energy in eV/atom: -5.98
ρ in kg/m3: 7779
Calculated volume in Å³/cell: 321.14

Unit cell a=6.7405 b=6.9786 c=6.8270 alpha=90.00 beta=90.00 gamma=90.00
Last column: nearest neighbours and their distance in Å.
Space group Cmmm (No. 65)
Symmetry-distinct sites (fractional):
1 Tl 0.0000 0.0000 0.0000  2 O 2.09
2 In 0.0000 0.5000 0.2535  6 O 2.15-2.22
3 Os 0.0000 0.0000 0.5000  6 O 1.90-1.92
4 O 0.0000 0.1866 0.2978  1 Os 1.90
5 O 0.1895 0.5000 0.0000  1 Tl 2.09, 2 In 2.15
6 O 0.2157 0.5000 0.5000  1 Os 1.92